(A)
Sr2Bi2Au | GGA-PBE | relaxed

Computed properties:
Volume in A^3/atom: 34.93
Crystal system: tetragonal

a b c (Å): 9.557 9.557 3.824
angles (deg): 90.00 90.00 90.00
Atoms (fractional coordinates):
Sr: 0.138 0.362 0.000
Sr: 0.862 0.638 0.000
Sr: 0.638 0.138 0.000
Sr: 0.362 0.862 0.000
Bi: 0.167 0.667 0.500
Bi: 0.833 0.333 0.500
Bi: 0.333 0.167 0.500
Bi: 0.667 0.833 0.500
Au: 0.500 0.500 0.000
Au: 0.000 0.000 0.000

---

(B)
Sr2Bi2Au | GGA-PBE | relaxed

Computed properties:
Volume in A^3/atom: 39.14
Crystal system: tetragonal

a b c (Å): 6.607 6.607 6.475
angles (deg): 59.32 59.32 90.00
Atoms (fractional coordinates):
Bi: 0.682 0.682 0.635
Bi: 0.318 0.318 0.365
Au: 0.000 0.000 0.000
Sr: 0.750 0.250 0.500
Sr: 0.250 0.750 0.500

---

Relative stability in meV/atom, measured from the most stable structure: (A) 185; (B) 0

---

(A)
SbPPb | GGA-PBE | relaxed

Computed properties:
Volume in A^3/atom: 27.88
Crystal system: cubic

a b c (Å): 4.909 4.909 4.909
angles (deg): 60.00 60.00 60.00
Atoms (fractional coordinates):
P: 0.750 0.750 0.750
Pb: 0.000 0.000 0.000
Sb: 0.500 0.500 0.500

---

(B)
SbPPb | GGA-PBE | relaxed

Computed properties:
Volume in A^3/atom: 25.13
Crystal system: tetragonal

a b c (Å): 6.144 6.144 6.144
angles (deg): 145.14 145.14 50.12
Atoms (fractional coordinates):
P: 0.027 0.027 0.000
Sb: 0.628 0.628 0.000
Pb: 0.344 0.344 0.000

---

Relative stability in meV/atom, measured from the most stable structure: (A) 183; (B) 0